Record 1
Here is WBr2O at its PBEsol-relaxed geometry from Alexandria. Energies are from SCAN.

Results
calculated total energy: -27.604 eV per atom
V: 72.7 Å³/f.u.

abc: 8.323 8.323 8.323
angles: 22.28 22.28 22.28
Atoms (fractional coordinates):
W: 0.000 0.000 0.000
Br: 0.096 0.096 0.096
Br: 0.904 0.904 0.904
O: 0.500 0.500 0.500

Record 2
Here is YBrO2 at its PBEsol-relaxed geometry from Alexandria. Energies are from SCAN.

Results
calculated total energy: -17.319 eV per atom
V: 68.1 Å³/f.u.

abc: 6.388 6.388 6.388
angles: 32.81 32.81 32.81
Atoms (fractional coordinates):
Y: 0.000 0.000 0.000
Br: 0.500 0.500 0.500
O: 0.386 0.386 0.386
O: 0.614 0.614 0.614

Record 3
Here is Y3BrO at its PBEsol-relaxed geometry from Alexandria. Energies are from SCAN.

Results
calculated total energy: -22.892 eV per atom
V: 106.4 Å³/f.u.

abc: 4.739 4.739 4.739
angles: 90.00 90.00 90.00
Atoms (fractional coordinates):
Y: 0.000 0.000 0.500
Y: 0.000 0.500 0.000
Y: 0.500 0.000 0.000
Br: 0.500 0.500 0.500
O: 0.000 0.000 0.000

Record 4
Here is ZnBrO2 at its PBEsol-relaxed geometry from Alexandria. Energies are from SCAN.

Results
calculated total energy: -12.026 eV per atom
V: 51.5 Å³/f.u.

abc: 6.249 6.249 6.249
angles: 29.24 29.24 29.24
Atoms (fractional coordinates):
Zn: 0.000 0.000 0.000
Br: 0.500 0.500 0.500
O: 0.391 0.391 0.391
O: 0.609 0.609 0.609

Formation energy without anion corrections values (in eV per atom) by entry order: 1.106; -2.377; -1.048; -0.667.
M_tot values (in μB per cell) by entry order: 1.2; 0.0; 0.0; 0.0.